Material: La2CdIn
Method: DFT, PBEsol
State: relaxed

```
data_La2CdIn
_chemical_formula_sum 'La4 Cd2 In2'
_cell_length_a 7.068
_cell_length_b 9.055
_cell_length_c 3.547
_cell_angle_alpha 90.00
_cell_angle_beta 90.00
_cell_angle_gamma 90.00
_space_group_name_H-M_alt 'C m m m'
_space_group_IT_number 65
_space_group_name_Hall '-C 2 2'
loop_
_atom_site_label
_atom_site_fract_x
_atom_site_fract_y
_atom_site_fract_z
La1 0.250 0.250 0.000
Cd1 0.000 0.000 0.500
In1 0.000 0.500 0.500
```

Summary:
- Electronic total energy: -0.3037 Ry/atom
- D(E_F): 8.6 states/eV/cell
- ΔH_f (0 K): -414 meV per atom
- Size of the total moment: 0.00 μB/f.u.